1.
Compound: Tl6CdHg2Au
Source: Alexandria
Functional: GGA-PBE
Structure: optimized geometry

Calculated values
Its crystal system is triclinic. The space group is P1 (1). For the calculated formation energy, the calculation gives 0.0026 eV per atom. The value obtained for the total magnetization is 0.00 μB per formula unit.

Unit cell a=6.455 b=6.511 c=6.825 alpha=90.87 beta=91.88 gamma=92.66
Fractional positions:
Tl  0.000  0.000  0.000
Tl  0.154  0.851  0.487
Tl  0.321  0.361  0.709
Tl  0.476  0.214  0.198
Tl  0.639  0.704  0.337
Tl  0.835  0.512  0.857
Cd  0.739  0.106  0.599
Hg  0.489  0.862  0.858
Hg  0.985  0.353  0.338
Au  0.237  0.606  0.097

2.
Compound: Tm4CdHgAu2
Source: Alexandria
Functional: GGA-PBE
Structure: optimized geometry

Calculated values
Its crystal system is trigonal. The space group is R-3m (166). For the calculated formation energy, the calculation gives -0.6284 eV per atom. The value obtained for the total magnetization is 0.00 μB per formula unit.

Unit cell a=8.858 b=8.858 c=8.858 alpha=33.54 beta=33.54 gamma=33.54
Fractional positions:
Tm  0.124  0.124  0.124
Tm  0.374  0.374  0.374
Tm  0.626  0.626  0.626
Tm  0.876  0.876  0.876
Cd  0.500  0.500  0.500
Hg  0.000  0.000  0.000
Au  0.246  0.246  0.246
Au  0.754  0.754  0.754

3.
Compound: YCdHgAu
Source: Alexandria
Functional: GGA-PBE
Structure: optimized geometry

Calculated values
Its crystal system is cubic. The space group is F-43m (216). For the calculated formation energy, the calculation gives -0.5297 eV per atom. The value obtained for the total magnetization is 0.00 μB per formula unit.

Unit cell a=5.006 b=5.006 c=5.006 alpha=60.00 beta=60.00 gamma=60.00
Fractional positions:
Y  0.000  0.000  0.000
Cd  0.500  0.500  0.500
Hg  0.250  0.250  0.250
Au  0.750  0.750  0.750

4.
Compound: Zn2CdHgAu
Source: Alexandria
Functional: GGA-PBE
Structure: optimized geometry

Calculated values
Its crystal system is tetragonal. The space group is P4/mmm (123). For the calculated formation energy, the calculation gives 0.0647 eV per atom. The value obtained for the total magnetization is 0.00 μB per formula unit.

Unit cell a=4.988 b=4.988 c=5.396 alpha=90.00 beta=90.00 gamma=90.00
Fractional positions:
Zn  0.000  0.500  0.000
Zn  0.500  0.000  0.000
Cd  0.000  0.000  0.500
Hg  0.500  0.500  0.500
Au  0.000  0.000  0.000

5.
Compound: Zn2Cd2HgAu5
Source: Alexandria
Functional: GGA-PBE
Structure: optimized geometry

Calculated values
Its crystal system is tetragonal. The space group is P4/mbm (127). For the calculated formation energy, the calculation gives -0.0758 eV per atom. The value obtained for the total magnetization is 0.00 μB per formula unit.

Unit cell a=9.635 b=9.635 c=4.091 alpha=90.00 beta=90.00 gamma=90.00
Fractional positions:
Zn  0.124  0.376  0.000
Zn  0.376  0.876  0.000
Zn  0.624  0.124  0.000
Zn  0.876  0.624  0.000
Cd  0.171  0.671  0.000
Cd  0.329  0.171  0.000
Cd  0.671  0.829  0.000
Cd  0.829  0.329  0.000
Hg  0.000  0.000  0.000
Hg  0.500  0.500  0.000
Au  0.000  0.500  0.500
Au  0.090  0.196  0.500
Au  0.196  0.910  0.500
Au  0.304  0.410  0.500
Au  0.410  0.696  0.500
Au  0.500  0.000  0.500
Au  0.590  0.304  0.500
Au  0.696  0.590  0.500
Au  0.804  0.090  0.500
Au  0.910  0.804  0.500

6.
Compound: ZrCdHgAu2
Source: Alexandria
Functional: GGA-PBE
Structure: optimized geometry

Calculated values
Its crystal system is tetragonal. The space group is P4/mmm (123). For the calculated formation energy, the calculation gives 0.7424 eV per atom. The value obtained for the total magnetization is 1.50 μB per formula unit.

Unit cell a=5.099 b=5.099 c=5.418 alpha=90.00 beta=90.00 gamma=90.00
Fractional positions:
Zr  0.000  0.000  0.000
Cd  0.000  0.000  0.500
Hg  0.500  0.500  0.000
Au  0.000  0.500  0.500
Au  0.500  0.000  0.500

- The lowest calculated formation energy belongs to which entry?
  Tm4CdHgAu2

Copy entry 3 word for word.
Compound: YCdHgAu
Source: Alexandria
Functional: GGA-PBE
Structure: optimized geometry

Calculated values
Its crystal system is cubic. The space group is F-43m (216). For the calculated formation energy, the calculation gives -0.5297 eV per atom. The value obtained for the total magnetization is 0.00 μB per formula unit.

Unit cell a=5.006 b=5.006 c=5.006 alpha=60.00 beta=60.00 gamma=60.00
Fractional positions:
Y  0.000  0.000  0.000
Cd  0.500  0.500  0.500
Hg  0.250  0.250  0.250
Au  0.750  0.750  0.750